Compound: VBi2O
Source: Alexandria
Functional: PBE+U
Structure: optimized geometry Values from VASP.

Output
For the energy, the calculation gives -37.67 eV/cell. The space group is I-42d (122). The density of states at the Fermi level comes out at 4.205 states/eV per cell.

Structure (Quantum ESPRESSO input):
```
&SYSTEM
  ibrav = 0, nat = 8, ntyp = 3
/
ATOMIC_SPECIES
V 50.94 V.upf
Bi 208.98 Bi.upf
O 16.00 O.upf
ATOMIC_POSITIONS crystal
V 0.000 0.000 0.000
V 0.750 0.250 0.500
Bi 0.224 0.625 0.099
Bi 0.375 0.474 0.599
Bi 0.526 0.125 0.901
Bi 0.875 0.776 0.401
O 0.250 0.750 0.500
O 0.500 0.500 0.000
CELL_PARAMETERS angstrom
-3.858 3.858 3.181
3.858 -3.858 3.181
3.858 3.858 -3.181
```